First-principles (PBE) data for crystalline AsPSe2 at its relaxed geometry, as listed in Alexandria.

POSCAR file:
```
AsPSe2
1.0
3.8278 0.0185 -0.0500
1.9341 3.3033 -0.0500
1.8371 1.0591 6.4425
P As Se
1 1 2
Cartesian
1.8998 1.0952 1.5856
5.6993 3.2857 4.7568
3.7971 2.1891 3.1035
5.7643 3.3232 -0.0323
```

Summary:
symmetry = C2/m (12)
polymorph energy (0 for the lowest one) = 94 meV/atom

***

First-principles (PBE) data for crystalline As2PSe at its relaxed geometry, as listed in Alexandria.

POSCAR file:
```
As2PSe
1.0
-4.3007 2.9728 -4.6267
-5.8476 -0.0411 -3.8136
-2.8149 2.0838 2.3685
As Se P
2 1 1
Cartesian
-10.3510 4.0093 -4.8318
-12.5300 4.8227 -5.9624
-2.6680 1.0033 -1.3568
-6.8590 2.7035 -3.0286
```

Summary:
symmetry = Cm (8)
polymorph energy (0 for the lowest one) = 15 meV/atom

***

no.,calculated total energy (eV for the cell shown),E_form (uncorrected) (kcal/mol of atoms)
1,-16.13,5.2
2,-17.64,3.2